(1)
The following is a GGA-PBE calculation of Na4Dy3VS8 after structural relaxation, from the Alexandria database.

Geometry as CIF:
```
data_Na4Dy3VS8
_symmetry_space_group_name_H-M 'R -3 m'
_symmetry_Int_Tables_number 166
_symmetry_space_group_name_Hall '-R 3 2"'
_cell_length_a 7.7711
_cell_length_b 7.7711
_cell_length_c 20.0142
_cell_angle_alpha 90.00
_cell_angle_beta 90.00
_cell_angle_gamma 120.00
loop_
_atom_site_label
_atom_site_fract_x
_atom_site_fract_y
_atom_site_fract_z
Na1 0.0000 0.0000 0.0000
Na2 0.0000 0.5000 0.0000
Dy1 0.0000 0.5000 0.5000
V1 0.0000 0.0000 0.5000
S1 0.0000 0.0000 0.2435
S2 0.0213 0.5106 0.2394
```

***

(2)
The following is a GGA-PBE calculation of NaDyY4S8 after structural relaxation, from the Alexandria database.

Geometry as CIF:
```
data_NaDyY4S8
_symmetry_space_group_name_H-M 'R 3 m'
_symmetry_Int_Tables_number 160
_symmetry_space_group_name_Hall 'R 3 -2"'
_cell_length_a 8.1089
_cell_length_b 8.1089
_cell_length_c 19.8496
_cell_angle_alpha 90.00
_cell_angle_beta 90.00
_cell_angle_gamma 120.00
loop_
_atom_site_label
_atom_site_fract_x
_atom_site_fract_y
_atom_site_fract_z
Na1 0.0000 0.0000 0.0000
Dy1 0.0000 0.0000 0.6295
Y1 0.0000 0.0000 0.2498
Y2 0.1726 0.3452 0.4568
S1 0.0000 0.0000 0.3830
S2 0.0000 0.0000 0.8640
S3 0.0296 0.5148 0.3784
S4 0.1776 0.3552 0.2056
```

***

In order of appearance, formation energy from raw total energies = -1.600, -1.964 eV per atom.
In order of appearance, magnetization = 6.00, 0.00 Bohr magnetons per cell.
In order of appearance, final energy = -5.426, -6.592 eV/atom.